[1]
A plane-wave DFT calculation with PBE-GGA was carried out for an optimized crystal structure of Sb3PdRh.

Cell lengths 5.0896, 5.0896, 5.0896 Å; angles 90.00, 90.00, 90.00 degrees
Last column: nearest neighbours and their distance in Å.
Element x y z (fractional)
Sb (0.0000, 0.0000, 0.5000)  2 Rh 2.54
Sb (0.0000, 0.5000, 0.0000)  2 Rh 2.54
Sb (0.5000, 0.0000, 0.0000)  2 Rh 2.54
Pd (0.5000, 0.5000, 0.5000)  12 Sb 3.60
Rh (0.0000, 0.0000, 0.0000)  6 Sb 2.54

Computed properties:
Crystal system: cubic
Raw formation energy, eV per atom: 0.418
SG: Pm-3m (221)

---

[2]
A plane-wave DFT calculation with PBE-GGA was carried out for an optimized crystal structure of Pm4Th3ZrN8.

Cell lengths 7.1767, 7.1767, 7.1767 Å; angles 60.05, 60.05, 60.05 degrees
Last column: nearest neighbours and their distance in Å.
Element x y z (fractional)
Pm (0.0000, 0.0000, 0.0000)  6 N 2.68
Pm (0.0000, 0.5000, 0.5000)  6 N 2.57-2.58
Pm (0.5000, 0.0000, 0.5000)  6 N 2.57-2.58
Pm (0.5000, 0.5000, 0.0000)  6 N 2.57-2.58
Th (0.0000, 0.0000, 0.5000)  6 N 2.51
Th (0.0000, 0.5000, 0.0000)  6 N 2.51
Th (0.5000, 0.0000, 0.0000)  6 N 2.51
Zr (0.5000, 0.5000, 0.5000)  6 N 2.39
N (0.2469, 0.2469, 0.2469)  3 Th 2.51, 3 Pm 2.57
N (0.2578, 0.7356, 0.7356)  1 Zr 2.39, 2 Th 2.51, 2 Pm 2.58
N (0.2644, 0.2644, 0.7422)  1 Zr 2.39, 2 Th 2.51, 2 Pm 2.58
N (0.2644, 0.7422, 0.2644)  1 Zr 2.39, 2 Th 2.51, 2 Pm 2.58
N (0.7356, 0.2578, 0.7356)  1 Zr 2.39, 2 Th 2.51, 2 Pm 2.58
N (0.7356, 0.7356, 0.2578)  1 Zr 2.39, 2 Th 2.51, 2 Pm 2.58
N (0.7422, 0.2644, 0.2644)  1 Zr 2.39, 2 Th 2.51, 2 Pm 2.58
N (0.7531, 0.7531, 0.7531)  3 Th 2.51, 3 Pm 2.57

Computed properties:
Crystal system: trigonal
Raw formation energy, eV per atom: -1.530
SG: R-3m (166)

---

[3]
A plane-wave DFT calculation with PBE-GGA was carried out for an optimized crystal structure of Rb2MgBe2.

Cell lengths 3.2923, 3.2923, 25.7997 Å; angles 90.00, 90.00, 90.00 degrees
Last column: nearest neighbours and their distance in Å.
Element x y z (fractional)
Rb (0.0000, 0.0000, 0.1260)  4 Rb 3.29, 4 Be 3.60
Rb (0.0000, 0.0000, 0.8740)  4 Rb 3.29, 4 Be 3.60
Rb (0.5000, 0.5000, 0.3740)  4 Rb 3.29, 4 Be 3.60
Rb (0.5000, 0.5000, 0.6260)  4 Rb 3.29, 4 Be 3.60
Mg (0.0000, 0.0000, 0.5000)  4 Mg 3.29
Mg (0.5000, 0.5000, 0.0000)  4 Mg 3.29
Be (0.0000, 0.5000, 0.2500)  4 Be 2.33
Be (0.0000, 0.5000, 0.7500)  4 Be 2.33
Be (0.5000, 0.0000, 0.2500)  4 Be 2.33
Be (0.5000, 0.0000, 0.7500)  4 Be 2.33

Computed properties:
Formation energy, eV per atom: 0.74
Crystal system: tetragonal
SG: I4/mmm (139)

---

[4]
A plane-wave DFT calculation with PBE-GGA was carried out for an optimized crystal structure of PmLu3Ir.

Cell lengths 5.3370, 5.3370, 5.3370 Å; angles 90.00, 90.00, 90.00 degrees
Last column: nearest neighbours and their distance in Å.
Element x y z (fractional)
Pm (0.0000, 0.0000, 0.0000)  12 Lu 3.77
Lu (0.0000, 0.5000, 0.5000)  2 Ir 2.67
Lu (0.5000, 0.0000, 0.5000)  2 Ir 2.67
Lu (0.5000, 0.5000, 0.0000)  2 Ir 2.67
Ir (0.5000, 0.5000, 0.5000)  6 Lu 2.67

Computed properties:
Formation energy, eV per atom: -0.35
Crystal system: cubic
SG: Pm-3m (221)

---

[5]
A plane-wave DFT calculation with PBE-GGA was carried out for an optimized crystal structure of Sr2LiW.

Cell lengths 3.7757, 5.5529, 11.4328 Å; angles 90.00, 90.00, 90.00 degrees
Last column: nearest neighbours and their distance in Å.
Element x y z (fractional)
Sr (0.0000, 0.0000, 0.0000)  2 W 3.39, 4 Li 3.46, 4 Sr 3.66-3.78
Sr (0.0000, 0.5000, 0.2089)  4 W 3.38, 4 Sr 3.66-3.78, 4 Li 3.72-3.75
Sr (0.5000, 0.0000, 0.7089)  4 W 3.38, 4 Sr 3.66-3.78, 4 Li 3.72-3.75
Sr (0.5000, 0.5000, 0.5000)  2 W 3.39, 4 Li 3.46, 4 Sr 3.66-3.78
Li (0.0000, 0.0000, 0.4254)  2 W 2.79
Li (0.5000, 0.5000, 0.9254)  2 W 2.79
W (0.0000, 0.5000, 0.7462)  2 Li 2.79
W (0.5000, 0.0000, 0.2462)  2 Li 2.79

Computed properties:
Formation energy, eV per atom: 1.00
Crystal system: orthorhombic
SG: Imm2 (44)

---

[6]
A plane-wave DFT calculation with PBE-GGA was carried out for an optimized crystal structure of BaSbSe2.

Cell lengths 7.7777, 7.7777, 7.7777 Å; angles 90.00, 90.00, 90.00 degrees
Last column: nearest neighbours and their distance in Å.
Element x y z (fractional)
Ba (0.0000, 0.0000, 0.0000)  4 Se 3.37, 4 Sb 3.37
Ba (0.0000, 0.5000, 0.5000)  4 Se 3.37, 4 Sb 3.37
Ba (0.5000, 0.0000, 0.5000)  4 Se 3.37, 4 Sb 3.37
Ba (0.5000, 0.5000, 0.0000)  4 Se 3.37, 4 Sb 3.37
Sb (0.2500, 0.2500, 0.2500)  4 Ba 3.37, 4 Se 3.37
Sb (0.2500, 0.7500, 0.7500)  4 Ba 3.37, 4 Se 3.37
Sb (0.7500, 0.2500, 0.7500)  4 Ba 3.37, 4 Se 3.37
Sb (0.7500, 0.7500, 0.2500)  4 Ba 3.37, 4 Se 3.37
Se (0.0000, 0.0000, 0.5000)  4 Se 3.37, 4 Sb 3.37
Se (0.0000, 0.5000, 0.0000)  4 Se 3.37, 4 Sb 3.37
Se (0.2500, 0.2500, 0.7500)  4 Ba 3.37, 4 Se 3.37
Se (0.2500, 0.7500, 0.2500)  4 Ba 3.37, 4 Se 3.37
Se (0.5000, 0.0000, 0.0000)  4 Se 3.37, 4 Sb 3.37
Se (0.5000, 0.5000, 0.5000)  4 Sb 3.37, 4 Se 3.37
Se (0.7500, 0.2500, 0.2500)  4 Ba 3.37, 4 Se 3.37
Se (0.7500, 0.7500, 0.7500)  4 Ba 3.37, 4 Se 3.37

Computed properties:
Crystal system: cubic
Raw formation energy, eV per atom: -0.275
SG: F-43m (216)

---

[7]
A plane-wave DFT calculation with PBE-GGA was carried out for an optimized crystal structure of ZnTeMo2.

Cell lengths 3.4959, 4.5197, 8.7036 Å; angles 90.00, 90.00, 90.00 degrees
Last column: nearest neighbours and their distance in Å.
Element x y z (fractional)
Zn (0.0000, 0.0000, 0.0000)  8 Mo 2.80-3.13, 4 Te 2.90-3.05
Zn (0.5000, 0.5000, 0.5000)  8 Mo 2.80-3.13, 4 Te 2.90-3.05
Te (0.0000, 0.5000, 0.2348)  8 Mo 2.80-3.13, 4 Zn 2.90-3.05
Te (0.5000, 0.0000, 0.7348)  8 Mo 2.80-3.13, 4 Zn 2.90-3.05
Mo (0.0000, 0.0000, 0.4831)  2 Mo 2.67, 2 Te 2.80, 4 Zn 2.86
Mo (0.0000, 0.5000, 0.7510)  2 Mo 2.67, 2 Zn 2.80, 4 Te 2.86
Mo (0.5000, 0.0000, 0.2510)  2 Mo 2.67, 2 Zn 2.80, 4 Te 2.86
Mo (0.5000, 0.5000, 0.9831)  2 Mo 2.67, 2 Te 2.80, 4 Zn 2.86

Computed properties:
Crystal system: orthorhombic
Raw formation energy, eV per atom: 0.408
SG: Imm2 (44)

---

[8]
A plane-wave DFT calculation with PBE-GGA was carried out for an optimized crystal structure of Gd2BiRh.

Cell lengths 5.0313, 5.0313, 13.7908 Å; angles 90.00, 90.00, 120.00 degrees
Last column: nearest neighbours and their distance in Å.
Element x y z (fractional)
Gd (0.0000, 0.0000, 0.2421)  3 Rh 3.09, 4 Bi 3.17-3.34
Gd (0.0000, 0.0000, 0.7579)  3 Rh 3.09, 4 Bi 3.17-3.34
Gd (0.3333, 0.6667, 0.4245)  3 Rh 3.09, 4 Bi 3.17-3.34
Gd (0.3333, 0.6667, 0.9088)  3 Rh 3.09, 4 Bi 3.17-3.34
Gd (0.6667, 0.3333, 0.0912)  3 Rh 3.09, 4 Bi 3.17-3.34
Gd (0.6667, 0.3333, 0.5755)  3 Rh 3.09, 4 Bi 3.17-3.34
Bi (0.0000, 0.0000, 0.0000)  8 Gd 3.17-3.34
Bi (0.3333, 0.6667, 0.6667)  8 Gd 3.17-3.34
Bi (0.6667, 0.3333, 0.3333)  8 Gd 3.17-3.34
Rh (0.0000, 0.0000, 0.5000)  6 Gd 3.09
Rh (0.3333, 0.6667, 0.1667)  6 Gd 3.09
Rh (0.6667, 0.3333, 0.8333)  6 Gd 3.09

Computed properties:
Formation energy, eV per atom: -0.61
Crystal system: trigonal
SG: R-3m (166)

---

[9]
A plane-wave DFT calculation with PBE-GGA was carried out for an optimized crystal structure of CePrDyZn.

Cell lengths 7.5173, 7.5173, 7.5173 Å; angles 90.00, 90.00, 90.00 degrees
Last column: nearest neighbours and their distance in Å.
Element x y z (fractional)
Ce (0.0000, 0.0000, 0.0000)  4 Dy 3.26, 4 Pr 3.26
Ce (0.0000, 0.5000, 0.5000)  4 Dy 3.26, 4 Pr 3.26
Ce (0.5000, 0.0000, 0.5000)  4 Dy 3.26, 4 Pr 3.26
Ce (0.5000, 0.5000, 0.0000)  4 Dy 3.26, 4 Pr 3.26
Pr (0.2500, 0.2500, 0.7500)  4 Ce 3.26, 4 Zn 3.26
Pr (0.2500, 0.7500, 0.2500)  4 Ce 3.26, 4 Zn 3.26
Pr (0.7500, 0.2500, 0.2500)  4 Ce 3.26, 4 Zn 3.26
Pr (0.7500, 0.7500, 0.7500)  4 Ce 3.26, 4 Zn 3.26
Dy (0.2500, 0.2500, 0.2500)  4 Ce 3.26, 4 Zn 3.26
Dy (0.2500, 0.7500, 0.7500)  4 Ce 3.26, 4 Zn 3.26
Dy (0.7500, 0.2500, 0.7500)  4 Ce 3.26, 4 Zn 3.26
Dy (0.7500, 0.7500, 0.2500)  4 Ce 3.26, 4 Zn 3.26
Zn (0.0000, 0.0000, 0.5000)  4 Dy 3.26, 4 Pr 3.26
Zn (0.0000, 0.5000, 0.0000)  4 Dy 3.26, 4 Pr 3.26
Zn (0.5000, 0.0000, 0.0000)  4 Dy 3.26, 4 Pr 3.26
Zn (0.5000, 0.5000, 0.5000)  4 Dy 3.26, 4 Pr 3.26

Computed properties:
Formation energy, eV per atom: 0.12
Crystal system: cubic
SG: F-43m (216)

---

[10]
A plane-wave DFT calculation with PBE-GGA was carried out for an optimized crystal structure of Zn4Pd2N.

Cell lengths 4.0095, 4.0095, 13.0478 Å; angles 90.00, 90.00, 90.00 degrees
Last column: nearest neighbours and their distance in Å.
Element x y z (fractional)
Zn (0.0000, 0.0000, 0.1667)  1 N 2.18
Zn (0.0000, 0.0000, 0.8333)  1 N 2.18
Zn (0.0000, 0.5000, 0.0000)  2 N 2.00
Zn (0.0000, 0.5000, 0.5000)  2 N 2.00
Zn (0.5000, 0.0000, 0.0000)  2 N 2.00
Zn (0.5000, 0.0000, 0.5000)  2 N 2.00
Zn (0.5000, 0.5000, 0.3333)  1 N 2.18
Zn (0.5000, 0.5000, 0.6667)  1 N 2.18
Pd (0.0000, 0.0000, 0.3564)  5 Zn 2.47-2.74
Pd (0.0000, 0.0000, 0.6436)  5 Zn 2.47-2.74
Pd (0.5000, 0.5000, 0.1436)  5 Zn 2.47-2.74
Pd (0.5000, 0.5000, 0.8564)  5 Zn 2.47-2.74
N (0.0000, 0.0000, 0.0000)  6 Zn 2.00-2.18
N (0.5000, 0.5000, 0.5000)  6 Zn 2.00-2.18

Computed properties:
Crystal system: tetragonal
Raw formation energy, eV per atom: 0.072
SG: I4/mmm (139)

---

How do the records compare in total magnetization? In the order shown, they have 0.000; 0.000; 0.000; 0.000; 5.506; 0.002; 0.000; 42.994; 6.445; 0.000 μB per cell.
How do the records compare in N(E_F)? In the order shown, they have 0.449; 0.335; 0.694; 1.097; 1.111; 1.088; 0.683; 0.600; 1.958; 0.222 states/eV/atom.